Computed, not measured: a relaxed Ba3Ag2PtO6 crystal at the PBE level of DFT.

Cell and atoms, written as extended XYZ:
```
12
Lattice="6.053 0.000 0.000 -3.027 5.242 0.000 0.000 0.000 6.787" Properties=species:S:1:pos:R:3 pbc="T T T"
Ba 0.000 0.000 0.000
Ba 0.000 3.495 4.210
Ba 3.027 1.747 2.577
Ag 0.000 3.495 0.842
Ag 3.027 1.747 5.945
Pt 0.000 0.000 3.393
O 0.000 1.684 2.206
O -1.568 4.400 2.206
O 1.458 0.842 4.581
O 1.568 4.400 2.206
O 4.595 0.842 4.581
O 3.027 3.558 4.581
```

* magnetic moment: 0.00 μB per cell
* energy: -5.252 eV/atom